DFT (PBE-GGA) results for an optimized crystal structure of SrOs.

Its space group is Imma, No. 74. Its crystal system is orthorhombic. For the calculated volume, the calculation gives 107 Å³/cell. The calculation puts the formation energy at 0.89 eV per formula unit. For the density of states at the Fermi level, the calculation gives 0.88 states/eV per atom.

a b c (Å): 5.9302 5.9302 5.9302
angles (deg): 138.79 127.62 68.74
Closest atoms and distances in Å follow each position.
Fractional coordinates of all 4 atoms:
Os 0.9316 0.9316 0.0000  2 Os 2.36
Os 0.8184 0.3184 0.5000  2 Os 2.36
Sr 0.5185 0.5185 0.0000  8 Os 3.27-3.60, 4 Sr 3.35-3.50
Sr 0.2315 0.7315 0.5000  8 Os 3.27-3.60, 4 Sr 3.35-3.50